2
Lattice="3.1487 0.0000 0.0000 0.0000 3.1487 0.0000 0.0000 0.0000 2.7545" Properties=species:S:1:pos:R:3 comment="PBE CoS, relaxed" raw_formation_energy_kj_per_mol_atoms=18.7 magmom_total_mub_per_cell=0.0 spacegroup="No. 123" pbc="T T T"
Co 0.0000 0.0000 0.0000
S 1.5744 1.5744 0.0000



8
Lattice="-3.3233 3.3233 3.3233 3.3233 -3.3233 3.3233 3.3233 3.3233 -3.3233" Properties=species:S:1:pos:R:3 comment="PBE CoS, relaxed" raw_formation_energy_kj_per_mol_atoms=-34.2 magmom_total_mub_per_cell=0.0 spacegroup="No. 217" pbc="T T T"
Co 0.9158 0.9158 -0.9158
Co 0.9158 -0.9158 0.9158
Co -0.9158 0.9158 0.9158
Co 2.4075 2.4075 2.4075
S 2.1030 2.1030 -2.1030
S 2.1030 -2.1030 2.1030
S 1.2203 1.2203 1.2203
S -2.1030 2.1030 2.1030



24
Lattice="5.8376 0.0000 0.0000 0.0000 5.9723 0.0000 0.0000 0.0000 11.6817" Properties=species:S:1:pos:R:3 comment="PBE CoSbS, relaxed" raw_formation_energy_kj_per_mol_atoms=-35.0 magmom_total_mub_per_cell=0.0 spacegroup="No. 61" pbc="T T T"
Co 0.0870 0.9947 1.3441
Co 0.0870 1.9914 7.1849
Co 2.8319 3.9809 1.3441
Co 2.8319 4.9776 7.1849
Co 3.0058 0.9947 4.4968
Co 3.0058 1.9914 10.3377
Co 5.7507 3.9809 4.4968
Co 5.7507 4.9776 10.3377
Sb 0.6955 0.2966 3.7359
Sb 0.6955 2.6896 9.5768
Sb 2.2233 3.2828 3.7359
Sb 2.2233 5.6757 9.5768
Sb 3.6144 0.2966 2.1049
Sb 3.6144 2.6896 7.9458
Sb 5.1421 3.2828 2.1049
Sb 5.1421 5.6757 7.9458
S 0.7860 4.0936 6.5995
S 0.7860 4.8649 0.7586
S 2.1328 1.1075 6.5995
S 2.1328 1.8787 0.7586
S 3.7048 4.0936 10.9231
S 3.7048 4.8649 5.0822
S 5.0516 1.1075 10.9231
S 5.0516 1.8787 5.0822



5
Lattice="-2.1557 2.1557 5.1176 2.1557 -2.1557 5.1176 2.1557 2.1557 -5.1176" Properties=species:S:1:pos:R:3 comment="PBE Co2Sb2S, relaxed" polymorph_energy_kj_per_mol_atoms=29.1 raw_formation_energy_kj_per_mol_atoms=49.6 magmom_total_mub_per_cell=1.3 spacegroup="No. 139" pbc="T T T"
Co 0.0000 0.0000 1.1632
Co 0.0000 0.0000 9.0720
Sb 2.1557 0.0000 2.5588
Sb 0.0000 2.1557 2.5588
S 0.0000 0.0000 5.1176



14
Lattice="1.8321 -6.1790 0.0000 1.8321 6.1790 0.0000 0.0000 0.0000 13.0763" Properties=species:S:1:pos:R:3 comment="PBE CoSb2S4, relaxed" raw_formation_energy_kj_per_mol_atoms=1.8 magmom_total_mub_per_cell=5.6 spacegroup="No. 63" pbc="T T T"
Co 1.8321 4.6055 9.8072
Co 1.8321 -4.6055 3.2691
Sb 1.8321 1.6385 7.6071
Sb 1.8321 1.6385 12.0073
Sb 1.8321 -1.6385 1.0689
Sb 1.8321 -1.6385 5.4692
S 0.0000 0.0000 0.0000
S 0.0000 0.0000 6.5381
S 1.8321 2.6346 1.7156
S 1.8321 2.6346 4.8225
S 1.8321 0.0522 9.8072
S 1.8321 -0.0522 3.2691
S 1.8321 -2.6346 8.2538
S 1.8321 -2.6346 11.3606



10
Lattice="7.5860 0.0000 0.0000 0.0000 7.5860 0.0000 0.0000 0.0000 3.0523" Properties=species:S:1:pos:R:3 comment="PBE Co2SbS2, relaxed" polymorph_energy_kj_per_mol_atoms=47.0 raw_formation_energy_kj_per_mol_atoms=32.7 magmom_total_mub_per_cell=0.0 spacegroup="No. 127" pbc="T T T"
Co 1.6952 2.0978 0.0000
Co 2.0978 5.8908 0.0000
Co 5.4882 1.6952 0.0000
Co 5.8908 5.4882 0.0000
Sb 0.0000 0.0000 1.5261
Sb 3.7930 3.7930 1.5261
S 1.0832 4.8762 1.5261
S 2.7098 1.0832 1.5261
S 4.8762 6.5028 1.5261
S 6.5028 2.7098 1.5261



The following volume values (in Å³ per cell) correspond, in order, to the records above: 27.3 146.8 407.3 95.1 296.1 175.6.